Record 1
## PaB3 (PBE)

Data for PaB3 after structural relaxation.

Output
- Distance to the lowest polymorph of the same formula: 0.000 eV per atom
- Formation energy from the elements: -219 meV/atom

```
PaB3
1.0
5.453 0.000 0.000
-2.726 4.722 0.000
0.000 0.000 3.435
Pa B
2 6
Cartesian
2.726 1.574 0.859 Pa
0.000 3.148 2.576 Pa
4.532 0.532 2.576 B
0.921 0.532 2.576 B
2.726 3.659 2.576 B
-1.806 4.190 0.859 B
1.806 4.190 0.859 B
0.000 1.063 0.859 B
```

---

Record 2
## PaBPb (PBE)

Data for PaBPb after structural relaxation.

Output
- Formation energy from the elements: 185 meV/atom

```
PaBPb
1.0
3.483 0.000 0.000
0.000 6.017 0.000
0.000 0.000 12.664
B Pb Pa
4 4 4
Cartesian
2.612 2.644 9.560 B
0.871 0.365 3.228 B
0.871 3.373 3.104 B
2.612 5.653 9.435 B
2.612 1.172 7.492 Pb
0.871 1.836 1.160 Pb
0.871 4.845 5.172 Pb
2.612 4.181 11.504 Pb
2.612 1.894 4.248 Pa
0.871 1.115 10.580 Pa
0.871 4.124 8.416 Pa
2.612 4.902 2.084 Pa
```